# 1
BaGa2AgF8: relaxed, PBE.

Summary:
The value obtained for the magnetic moment is 0.0 Bohr magnetons per cell. The value obtained for the uncorrected formation energy is -2.4450 eV/atom.

Lattice parameters (Å, degrees): 5.745 5.745 7.823 68.46 68.46 60.00
Sites, in units of the cell vectors:
Ga 0.741 0.741 0.777
F 0.078 0.452 0.809
F 0.829 0.829 0.513
Ba 0.500 0.500 0.500
F 0.661 0.078 0.809
F 0.922 0.548 0.191
F 0.548 0.339 0.191
F 0.339 0.922 0.191
Ag 0.000 0.000 0.000
Ga 0.259 0.259 0.223
F 0.171 0.171 0.487
F 0.452 0.661 0.809

---

# 2
Ba2AgHF6: relaxed, PBE.

Summary:
The total energy is -4.94 eV/atom. The value obtained for the magnetic moment is 0.0 Bohr magnetons per cell.

Lattice parameters (Å, degrees): 6.750 7.458 8.273 35.52 58.55 68.54
Sites, in units of the cell vectors:
F 0.721 0.621 0.412
H 0.500 0.500 0.000
F 0.279 0.379 0.588
F 0.886 0.817 0.833
F 0.114 0.183 0.167
Ag 0.000 0.000 0.000
Ba 0.288 0.739 0.577
F 0.432 0.735 0.835
F 0.568 0.265 0.165
Ba 0.712 0.261 0.423

---

# 3
BaAgH3F6: relaxed, PBE.

Summary:
The total energy is -4.51 eV/atom. The value obtained for the magnetic moment is 0.1 Bohr magnetons per cell.

Lattice parameters (Å, degrees): 5.083 5.083 5.083 87.86 92.14 87.86
Site moments in Bohr magnetons follow the coordinates.
Sites, in units of the cell vectors:
F 0.584 0.942 0.829  0.00
F 0.520 0.954 0.274  0.00
F 0.058 0.171 0.584  0.00
H 0.052 0.949 0.552  0.00
Ba 0.552 0.448 0.552  0.00
F 0.829 0.416 0.058  0.00
H 0.051 0.448 0.052  0.00
H 0.552 0.948 0.051  0.00
Ag 0.052 0.948 0.052  0.09
F 0.046 0.726 0.520  0.00
F 0.274 0.480 0.046  0.00

---

# 4
BaHfAg2F8: relaxed, PBE.

Summary:
The value obtained for the magnetic moment is 0.0 Bohr magnetons per cell. The value obtained for the uncorrected formation energy is -2.8718 eV/atom.

Lattice parameters (Å, degrees): 4.609 5.750 7.910 89.99 90.00 94.06
Sites, in units of the cell vectors:
Ag 0.500 0.500 0.254
F 0.871 0.200 0.193
Hf 0.000 0.000 0.000
F 0.499 0.250 0.500
F 0.501 0.750 0.500
Ba 0.000 0.000 0.500
F 0.871 0.200 0.807
F 0.360 0.218 0.000
Ag 0.500 0.500 0.746
F 0.129 0.800 0.807
F 0.129 0.800 0.193
F 0.640 0.782 0.000

---

# 5
BaAg2HgF6: relaxed, PBE.

Summary:
The value obtained for the magnetic moment is 0.0 Bohr magnetons per cell. The value obtained for the uncorrected formation energy is -1.9273 eV/atom.

Lattice parameters (Å, degrees): 6.283 6.387 9.196 90.00 92.15 90.00
Sites, in units of the cell vectors:
F 0.344 0.692 0.419
Ag 0.509 0.554 0.744
Ag 0.009 0.946 0.244
Ba 0.000 0.500 0.500
Hg 0.500 0.000 0.500
F 0.306 0.663 0.081
Hg 0.000 0.500 0.000
F 0.855 0.615 0.237
F 0.656 0.308 0.581
F 0.806 0.837 0.581
F 0.156 0.192 0.081
F 0.844 0.808 0.919
Ba 0.500 0.000 0.000
Ag 0.991 0.054 0.756
F 0.355 0.885 0.737
F 0.194 0.163 0.419
F 0.694 0.337 0.919
F 0.145 0.385 0.763
Ag 0.491 0.446 0.256
F 0.645 0.115 0.263

---

# 6
BaAg4Hg3F12: relaxed, PBE.

Summary:
The value obtained for the magnetic moment is 0.0 Bohr magnetons per cell. The value obtained for the uncorrected formation energy is -1.5509 eV/atom.

Lattice parameters (Å, degrees): 7.872 7.872 7.872 108.28 108.28 108.28
Sites, in units of the cell vectors:
F 0.327 0.996 0.243
F 0.911 0.500 0.089
F 0.243 0.327 0.996
F 0.326 0.674 0.500
F 0.996 0.243 0.327
Hg 0.572 0.428 0.000
F 0.004 0.673 0.757
F 0.757 0.004 0.673
F 0.500 0.089 0.911
Ag 0.500 0.500 0.500
F 0.674 0.500 0.326
Hg 0.000 0.572 0.428
Hg 0.428 0.000 0.572
F 0.673 0.757 0.004
Ag 0.500 0.899 0.101
Ag 0.899 0.101 0.500
Ag 0.101 0.500 0.899
F 0.500 0.326 0.674
F 0.089 0.911 0.500
Ba 0.000 0.000 0.000

---

# 7
BaAg2HgF8: relaxed, PBE.

Summary:
The value obtained for the magnetic moment is 2.1 Bohr magnetons per cell. The value obtained for the uncorrected formation energy is -1.7783 eV/atom.

Lattice parameters (Å, degrees): 5.748 5.748 6.997 114.25 114.25 90.00
Site moments in Bohr magnetons follow the coordinates.
Sites, in units of the cell vectors:
Ag 0.500 0.500 0.000  0.53
Ag 0.250 0.750 0.500  0.55
F 0.151 0.117 0.762  0.12
Ba 0.750 0.250 0.500  0.00
F 0.883 0.849 0.238  0.12
F 0.355 0.849 0.238  0.12
F 0.611 0.117 0.762  0.12
F 0.883 0.389 0.238  0.12
Hg 0.000 0.000 0.000  0.01
F 0.355 0.389 0.238  0.12
F 0.611 0.645 0.762  0.12
F 0.151 0.645 0.762  0.12

---

# 8
BaHoAgF6: relaxed, PBE.

Summary:
The value obtained for the magnetic moment is 0.3 Bohr magnetons per cell. The value obtained for the uncorrected formation energy is -3.3215 eV/atom.

Lattice parameters (Å, degrees): 6.110 6.110 11.150 90.00 90.00 120.00
Site moments in Bohr magnetons follow the coordinates.
Sites, in units of the cell vectors:
Ba 0.000 0.000 0.500  0.00
F 0.369 0.328 0.361  0.00
F 0.959 0.631 0.361  0.00
F 0.672 0.631 0.139  0.00
F 0.041 0.369 0.639  0.00
F 0.631 0.672 0.639  0.00
F 0.672 0.041 0.361  0.00
Ba 0.000 0.000 0.000  0.00
Ho 0.333 0.667 0.750  0.00
F 0.959 0.328 0.139  0.00
F 0.041 0.672 0.861  0.00
Ag 0.333 0.667 0.250  0.11
Ag 0.667 0.333 0.750  0.11
F 0.631 0.959 0.861  0.00
Ho 0.667 0.333 0.250  0.00
F 0.369 0.041 0.139  0.00
F 0.328 0.959 0.639  0.00
F 0.328 0.369 0.861  0.00

---

What did the fourth record say?
BaHfAg2F8: relaxed, PBE.

Summary:
The value obtained for the magnetic moment is 0.0 Bohr magnetons per cell. The value obtained for the uncorrected formation energy is -2.8718 eV/atom.

Lattice parameters (Å, degrees): 4.609 5.750 7.910 89.99 90.00 94.06
Sites, in units of the cell vectors:
Ag 0.500 0.500 0.254
F 0.871 0.200 0.193
Hf 0.000 0.000 0.000
F 0.499 0.250 0.500
F 0.501 0.750 0.500
Ba 0.000 0.000 0.500
F 0.871 0.200 0.807
F 0.360 0.218 0.000
Ag 0.500 0.500 0.746
F 0.129 0.800 0.807
F 0.129 0.800 0.193
F 0.640 0.782 0.000

---

Question: What is the magnetic moment in the third record?
Answer: 0.1 Bohr magnetons per cell